1.
The following is a PBE-GGA calculation of a relaxed HPbF3 crystal, from the Alexandria database.

Cell: 4.980 4.078 6.639 Å, 90.00 103.77 90.00°
Positions (direct):
H: 0.147 0.250 0.145
H: 0.853 0.750 0.855
Pb: 0.315 0.250 0.701
Pb: 0.685 0.750 0.299
F: 0.062 0.750 0.831
F: 0.256 0.750 0.454
F: 0.379 0.250 0.118
F: 0.621 0.750 0.882
F: 0.744 0.250 0.546
F: 0.938 0.250 0.169

As for the mass density: 6.7 g cm⁻³. The calculated volume comes out at 131 Å³ per cell. As for the energy above the most stable polymorph in this dataset: 0.0 kJ/mol of atoms. Its space-group type is P2_1/m, No. 11.


2.
The following is a PBE-GGA calculation of a relaxed Ca2InCu2Pt5 crystal, from the Alexandria database.

Cell: 9.436 9.436 3.964 Å, 90.00 90.00 90.00°
Positions (direct):
Ca: 0.175 0.325 0.000
Ca: 0.325 0.825 0.000
Ca: 0.675 0.175 0.000
Ca: 0.825 0.675 0.000
In: 0.000 0.000 0.000
In: 0.500 0.500 0.000
Cu: 0.122 0.622 0.000
Cu: 0.378 0.122 0.000
Cu: 0.622 0.878 0.000
Cu: 0.878 0.378 0.000
Pt: 0.000 0.500 0.500
Pt: 0.068 0.790 0.500
Pt: 0.210 0.068 0.500
Pt: 0.290 0.568 0.500
Pt: 0.432 0.290 0.500
Pt: 0.500 0.000 0.500
Pt: 0.568 0.710 0.500
Pt: 0.710 0.432 0.500
Pt: 0.790 0.932 0.500
Pt: 0.932 0.210 0.500

As for the mass density: 12.2 g cm⁻³. For the energy of formation, the calculation gives -644 meV per atom. The calculated volume comes out at 353 Å³ per cell. Its space-group type is P4/mbm, No. 127.


3.
The following is a PBE-GGA calculation of a relaxed NdDy2Mg crystal, from the Alexandria database.

Cell: 5.551 5.551 5.551 Å, 60.00 60.00 60.00°
Positions (direct):
Nd: 0.000 0.000 0.000
Dy: 0.250 0.250 0.250
Dy: 0.750 0.750 0.750
Mg: 0.500 0.500 0.500

As for the mass density: 6.8 g cm⁻³. For the energy of formation, the calculation gives 87 meV per atom. The calculated volume comes out at 121 Å³ per cell. As for the energy above the most stable polymorph in this dataset: 11.3 kJ/mol of atoms. Its space-group type is Fm-3m, No. 225.


4.
The following is a PBE-GGA calculation of a relaxed KBe2FePd crystal, from the Alexandria database.

Cell: 4.383 4.383 4.626 Å, 90.00 90.00 90.00°
Positions (direct):
K: 0.000 0.000 0.000
Be: 0.000 0.500 0.500
Be: 0.500 0.000 0.500
Fe: 0.500 0.500 0.500
Pd: 0.500 0.500 0.000

As for the mass density: 4.1 g cm⁻³. For the energy of formation, the calculation gives 816 meV per atom. The calculated volume comes out at 89 Å³ per cell. Its space-group type is P4/mmm, No. 123.